PBE Li2Zn5Ga3, optimized geometry; energy of formation from the pure elements = -0.112 eV/atom; offset from the most stable computed form = 0 meV/atom
1.0
0.043 4.938 -2.132
-6.036 -2.405 -4.473
-3.970 2.282 6.424
Li Zn Ga
4 10 6
Cartesian
-4.229 3.103 -3.859
-3.218 2.978 2.656
-5.733 1.712 3.677
-6.745 1.838 -2.837
-5.543 4.712 3.752
-7.033 -1.088 -2.925
-4.420 0.104 -3.934
-2.929 5.904 2.744
-7.322 4.999 -0.221
-2.641 -0.183 0.040
-5.054 3.453 -1.064
-4.909 1.362 0.882
-2.451 2.667 -0.142
-7.511 2.149 -0.040
-5.902 3.688 1.530
-6.544 -0.188 -0.675
-4.061 1.127 -1.711
-3.419 5.003 0.493
-4.043 3.327 5.448
-5.920 1.489 -5.630



PBE RbOsRu3, optimized geometry; energy of formation from the pure elements = 1.576 eV/atom; offset from the most stable computed form = 0 meV/atom
1.0
-3.536 -3.254 0.324
1.351 -1.888 -4.220
2.978 -3.007 2.299
Ru Os Rb
3 1 1
Cartesian
0.676 -0.944 -2.110
1.489 -1.504 1.149
-1.768 -1.627 0.162
0.000 0.000 0.000
0.397 -4.074 -0.799



PBE Ac6In2RhN, optimized geometry; formation energy from raw total energies = -4.6 eV per formula unit
1.0
7.899 0.000 0.000
0.000 7.900 0.000
0.000 0.000 11.179
Ac In Rh N
12 4 2 2
Cartesian
3.949 1.972 2.918
3.949 1.972 8.261
0.000 5.928 2.672
0.000 5.928 8.507
2.059 0.071 5.590
5.840 0.071 5.590
2.052 3.859 5.590
5.847 3.859 5.590
6.002 4.041 0.000
1.897 4.041 0.000
1.890 7.829 0.000
6.008 7.829 0.000
3.949 5.931 2.793
0.000 1.969 8.383
3.949 5.931 8.386
0.000 1.969 2.796
0.000 5.920 5.590
3.949 1.980 0.000
3.949 1.981 5.590
0.000 5.919 0.000



PBE Li2AgF3, optimized geometry; formation energy from raw total energies = -13.4 eV per formula unit; offset from the most stable computed form = 31 meV/atom
1.0
-2.559 -0.690 1.165
-2.261 -2.520 -6.458
5.259 -13.633 3.479
Li Ag F
8 4 12
Cartesian
0.048 -8.418 0.518
0.147 -10.557 -4.128
1.811 -14.340 0.882
2.640 -15.665 -1.677
-2.201 -1.177 -0.136
-1.372 -2.502 -2.696
0.292 -6.286 2.315
0.391 -8.425 -2.331
2.136 -11.332 3.377
1.900 -11.249 -0.689
-1.461 -5.593 -1.125
-1.696 -5.511 -5.191
-1.062 -9.749 -2.710
1.321 -9.249 -0.777
1.287 -9.630 2.521
2.480 -13.250 -0.600
0.724 -15.553 -2.224
3.740 -14.346 1.519
-3.301 -2.497 -3.332
-0.284 -1.290 0.410
-2.040 -3.592 -1.213
-0.848 -7.212 -4.334
-0.881 -7.594 -1.037
1.502 -7.094 0.897



PBE SmHoTlCd, optimized geometry; energy of formation from the pure elements = -0.342 eV/atom
1.0
5.372 0.000 0.000
2.686 4.652 0.000
2.686 1.551 4.386
Tl Ho Sm Cd
1 1 1 1
Cartesian
2.686 1.551 1.097
5.372 3.101 2.193
0.000 0.000 0.000
8.058 4.652 3.290



PBE KIrAu2, optimized geometry; energy of formation from the pure elements = 0.660 eV/atom; offset from the most stable computed form = 369 meV/atom
1.0
2.442 -0.151 4.170
2.461 3.881 1.502
-1.566 2.529 3.811
K Ir Au
1 1 2
Cartesian
0.000 0.000 0.000
1.668 3.130 4.742
0.834 1.565 2.371
2.502 4.694 7.112



> Number 5 is which compound?

SmHoTlCd